(1)
DFT (GGA-PBE) results for an optimized crystal structure of In2Au.

```
In2Au
1.0
4.998 -2.080 0.000
4.998 2.080 0.000
-4.303 0.000 6.901
In Au
4 2
direct
0.090 0.090 0.377
0.337 0.337 0.941
0.663 0.663 0.059
0.910 0.910 0.623
0.350 0.350 0.313
0.650 0.650 0.687
```

* calculated density: 9.877 g/cm³
* formation energy from the elements: -168.5 meV per atom
* space group: C2/m (12)



(2)
DFT (GGA-PBE) results for an optimized crystal structure of NbAsBr2N.

```
NbAsBr2N
1.0
5.246 0.000 0.000
0.000 5.246 0.000
0.000 0.000 5.031
Nb As Br N
1 1 2 1
direct
0.000 0.000 0.000
0.000 0.000 0.500
0.000 0.500 0.000
0.500 0.000 0.000
0.500 0.500 0.500
```

* calculated density: 4.098 g/cm³
* space group: P4/mmm (123)
* energy relative to the lowest polymorph listed for this composition: 0 meV per atom



(3)
DFT (GGA-PBE) results for an optimized crystal structure of U3Tl2CdO12.

```
U3Tl2CdO12
1.0
4.070 2.350 6.274
-4.070 2.350 6.274
0.000 -4.699 6.274
U Tl Cd O
3 2 1 12
direct
0.000 0.500 0.500
0.500 0.000 0.500
0.500 0.500 0.000
0.171 0.171 0.171
0.829 0.829 0.829
0.500 0.500 0.500
0.159 0.572 0.572
0.193 0.193 0.552
0.193 0.552 0.193
0.428 0.428 0.841
0.428 0.841 0.428
0.448 0.807 0.807
0.552 0.193 0.193
0.572 0.159 0.572
0.572 0.572 0.159
0.807 0.448 0.807
0.807 0.807 0.448
0.841 0.428 0.428
```

* calculated density: 6.584 g/cm³
* uncorrected energy: -7.73 eV/atom
* space group: R-3m (166)



Q: What is the formula in the first record?
A: In2Au